Record 1
SeNCl3 PBE-GGA relaxed; SG = No. 14; size of the total moment = 4.01 μB per cell; energy above the lowest structure with this stoichiometry = 0 kJ/mol of formula units; raw formation energy = -0.1453 eV per atom
1.0
-5.483 5.485 2.394
-5.261 -5.027 -0.531
-2.865 -7.834 11.388
Se N Cl
4 4 12
direct
0.603 0.511 0.231
0.397 0.489 0.769
0.103 0.989 0.269
0.897 0.011 0.731
0.512 0.491 0.464
0.488 0.509 0.536
0.012 0.009 0.036
0.988 0.991 0.964
0.158 0.345 0.173
0.842 0.655 0.827
0.658 0.155 0.327
0.342 0.845 0.673
0.442 0.810 0.167
0.558 0.190 0.833
0.942 0.690 0.333
0.058 0.310 0.667
0.819 0.051 0.576
0.181 0.949 0.424
0.319 0.449 0.924
0.681 0.551 0.076

Record 2
SeNCl2 PBE-GGA relaxed; SG = No. 166; size of the total moment = 2.98 μB per cell; energy above the lowest structure with this stoichiometry = 200 kJ/mol of formula units; raw formation energy = 1.2785 eV per atom
1.0
1.981 0.000 10.572
-0.991 1.716 10.572
-0.991 -1.716 10.572
N Se Cl
1 1 2
direct
0.500 0.500 0.500
0.000 0.000 0.000
0.928 0.928 0.928
0.072 0.072 0.072

Record 3
SeN2Cl4 PBE-GGA relaxed; SG = No. 2; size of the total moment = 0.00 μB per cell; raw formation energy = 0.8636 eV per atom
1.0
0.551 4.014 2.975
-5.785 0.507 -2.645
-2.367 -7.277 2.493
Se N Cl
1 2 4
direct
0.000 0.000 0.000
0.056 0.293 0.625
0.944 0.707 0.375
0.014 0.678 0.181
0.986 0.322 0.819
0.294 0.718 0.604
0.706 0.282 0.396

Record 4
SeNCl2 PBE-GGA relaxed; SG = No. 166; size of the total moment = 0.71 μB per cell; energy above the lowest structure with this stoichiometry = 250 kJ/mol of formula units; raw formation energy = 1.4077 eV per atom
1.0
2.834 5.890 6.252
4.654 6.728 3.859
1.760 7.871 4.093
N Se Cl
1 1 2
direct
0.000 0.000 0.000
0.500 0.500 0.500
0.940 0.940 0.940
0.060 0.060 0.060

Record 5
SnSe2NCl PBE-GGA relaxed; SG = No. 123; size of the total moment = 0.00 μB per cell; energy above the lowest structure with this stoichiometry = 124 kJ/mol of formula units; raw formation energy = 1.1943 eV per atom
1.0
5.647 0.000 0.000
0.000 5.647 0.000
0.000 0.000 3.407
N Sn Se Cl
1 1 2 1
direct
0.000 0.000 0.500
0.500 0.500 0.500
0.000 0.500 0.000
0.500 0.000 0.000
0.000 0.000 0.000

Record 6
SnSeN2Cl PBE-GGA relaxed; SG = No. 123; size of the total moment = 2.78 μB per cell; energy above the lowest structure with this stoichiometry = 0 kJ/mol of formula units; raw formation energy = 1.3253 eV per atom
1.0
-1.580 3.794 -0.433
-0.823 -0.795 -3.971
-5.325 -2.045 1.513
N Sn Se Cl
2 1 1 1
direct
0.000 0.500 0.000
0.500 0.000 0.000
0.000 0.000 0.000
0.000 0.000 0.500
0.500 0.500 0.500

Record 7
SnSe2NCl PBE-GGA relaxed; SG = No. 123; size of the total moment = 4.08 μB per cell; energy above the lowest structure with this stoichiometry = 0 kJ/mol of formula units; raw formation energy = 0.9381 eV per atom
1.0
-2.390 0.911 4.936
4.508 -2.015 2.555
1.605 3.709 0.093
N Sn Se Cl
1 1 2 1
direct
0.000 0.000 0.500
0.000 0.000 0.000
0.000 0.500 0.000
0.500 0.000 0.000
0.500 0.500 0.500

Record 8
SnSeN2Cl PBE-GGA relaxed; SG = No. 123; size of the total moment = 2.32 μB per cell; energy above the lowest structure with this stoichiometry = 273 kJ/mol of formula units; raw formation energy = 1.8920 eV per atom
1.0
4.207 0.000 0.000
0.000 4.207 0.000
0.000 0.000 5.044
N Sn Se Cl
2 1 1 1
direct
0.000 0.500 0.000
0.500 0.000 0.000
0.500 0.500 0.500
0.000 0.000 0.500
0.000 0.000 0.000

Record 9
SrSe2NCl PBE-GGA relaxed; SG = No. 123; size of the total moment = 2.11 μB per cell; energy above the lowest structure with this stoichiometry = 0 kJ/mol of formula units; raw formation energy = 0.4248 eV per atom
1.0
5.265 0.000 0.000
0.000 5.265 0.000
0.000 0.000 4.234
Sr N Se Cl
1 1 2 1
direct
0.500 0.500 0.500
0.000 0.000 0.500
0.000 0.500 0.000
0.500 0.000 0.000
0.000 0.000 0.000

Record 10
SrSe2NCl PBE-GGA relaxed; SG = No. 123; size of the total moment = 6.00 μB per cell; energy above the lowest structure with this stoichiometry = 181 kJ/mol of formula units; raw formation energy = 0.8002 eV per atom
1.0
6.157 0.000 0.000
0.000 6.157 0.000
0.000 0.000 5.013
Sr N Se Cl
1 1 2 1
direct
0.000 0.000 0.000
0.000 0.000 0.500
0.000 0.500 0.000
0.500 0.000 0.000
0.500 0.500 0.500

Record 11
SrSeN2Cl PBE-GGA relaxed; SG = No. 123; size of the total moment = 2.46 μB per cell; energy above the lowest structure with this stoichiometry = 0 kJ/mol of formula units; raw formation energy = 1.1934 eV per atom
1.0
4.321 0.000 0.000
0.000 4.321 0.000
0.000 0.000 5.127
Sr N Se Cl
1 2 1 1
direct
0.500 0.500 0.500
0.000 0.500 0.000
0.500 0.000 0.000
0.000 0.000 0.500
0.000 0.000 0.000

Record 12
SrSeN2Cl PBE-GGA relaxed; SG = No. 123; size of the total moment = 5.14 μB per cell; energy above the lowest structure with this stoichiometry = 98 kJ/mol of formula units; raw formation energy = 1.3963 eV per atom
1.0
4.933 0.000 0.000
0.000 4.933 0.000
0.000 0.000 6.264
Sr N Se Cl
1 2 1 1
direct
0.000 0.000 0.000
0.000 0.500 0.000
0.500 0.000 0.000
0.000 0.000 0.500
0.500 0.500 0.500

Record 13
TaSe2NCl PBE-GGA relaxed; SG = No. 123; size of the total moment = 0.91 μB per cell; energy above the lowest structure with this stoichiometry = 0 kJ/mol of formula units; raw formation energy = 0.1470 eV per atom
1.0
5.136 0.000 0.000
0.000 5.136 0.000
0.000 0.000 3.974
N Cl Se Ta
1 1 2 1
direct
0.000 0.000 0.500
0.500 0.500 0.500
0.000 0.500 0.000
0.500 0.000 0.000
0.000 0.000 0.000

Record 14
TaSe2NCl PBE-GGA relaxed; SG = No. 123; size of the total moment = 0.00 μB per cell; energy above the lowest structure with this stoichiometry = 687 kJ/mol of formula units; raw formation energy = 1.5713 eV per atom
1.0
5.054 0.000 0.000
0.000 5.054 0.000
0.000 0.000 3.351
N Cl Se Ta
1 1 2 1
direct
0.000 0.000 0.500
0.000 0.000 0.000
0.000 0.500 0.000
0.500 0.000 0.000
0.500 0.500 0.500

Record 15
TcSe2NCl PBE-GGA relaxed; SG = No. 123; size of the total moment = 2.81 μB per cell; energy above the lowest structure with this stoichiometry = 661 kJ/mol of formula units; raw formation energy = 1.7858 eV per atom
1.0
-0.038 2.026 -4.693
2.192 -4.233 -1.845
-3.031 -1.330 -0.550
N Tc Se Cl
1 1 2 1
direct
0.000 0.000 0.500
0.500 0.500 0.500
0.000 0.500 0.000
0.500 0.000 0.000
0.000 0.000 0.000

Record 16
TcSe2NCl PBE-GGA relaxed; SG = No. 123; size of the total moment = 0.00 μB per cell; energy above the lowest structure with this stoichiometry = 0 kJ/mol of formula units; raw formation energy = 0.4149 eV per atom
1.0
5.040 0.000 0.000
0.000 5.040 0.000
0.000 0.000 3.738
N Tc Se Cl
1 1 2 1
direct
0.000 0.000 0.500
0.000 0.000 0.000
0.000 0.500 0.000
0.500 0.000 0.000
0.500 0.500 0.500

Record 17
WSeN2Cl PBE-GGA relaxed; SG = No. 123; size of the total moment = 0.00 μB per cell; energy above the lowest structure with this stoichiometry = 0 kJ/mol of formula units; raw formation energy = 0.4478 eV per atom
1.0
-0.620 1.056 3.702
-3.161 -2.279 0.121
3.050 -4.140 1.692
N Se W Cl
2 1 1 1
direct
0.000 0.500 0.000
0.500 0.000 0.000
0.000 0.000 0.500
0.000 0.000 0.000
0.500 0.500 0.500

Record 18
WSe2NCl PBE-GGA relaxed; SG = No. 123; size of the total moment = 0.89 μB per cell; energy above the lowest structure with this stoichiometry = 0 kJ/mol of formula units; raw formation energy = 0.3190 eV per atom
1.0
5.041 0.000 0.000
0.000 5.041 0.000
0.000 0.000 3.867
N Se W Cl
1 2 1 1
direct
0.000 0.000 0.500
0.000 0.500 0.000
0.500 0.000 0.000
0.000 0.000 0.000
0.500 0.500 0.500

Record 19
WSeN2Cl PBE-GGA relaxed; SG = No. 123; size of the total moment = 0.00 μB per cell; energy above the lowest structure with this stoichiometry = 1020 kJ/mol of formula units; raw formation energy = 2.5626 eV per atom
1.0
3.812 0.000 0.000
0.000 4.662 0.000
0.000 0.000 3.812
N Se W Cl
2 1 1 1
direct
0.000 0.000 0.500
0.500 0.000 0.000
0.000 0.500 0.000
0.500 0.500 0.500
0.000 0.000 0.000

Record 20
WSe2NCl PBE-GGA relaxed; SG = No. 123; size of the total moment = 1.16 μB per cell; energy above the lowest structure with this stoichiometry = 780 kJ/mol of formula units; raw formation energy = 1.9356 eV per atom
1.0
5.021 0.000 0.000
0.000 5.021 0.000
0.000 0.000 3.301
N Se W Cl
1 2 1 1
direct
0.000 0.000 0.500
0.000 0.500 0.000
0.500 0.000 0.000
0.500 0.500 0.500
0.000 0.000 0.000